A relaxed Tm3Ni2Au crystal, computed with PBE.

Lattice parameters (Å, degrees): 3.9607 8.9711 7.0674 90.00 90.00 90.00
Last column: nearest neighbours and their distance in Å.
Element x y z (fractional)
Tm  0.0000  0.0728  0.0000  6 Ni 2.80-2.89
Tm  0.0000  0.9272  0.5000  6 Ni 2.80-2.89
Tm  0.5000  0.2323  0.3657  4 Ni 2.77-2.90, 2 Au 3.04
Tm  0.5000  0.3801  0.8294  3 Ni 2.76-2.89, 4 Au 2.97-3.00
Tm  0.5000  0.6199  0.3294  3 Ni 2.76-2.89, 4 Au 2.97-3.00
Tm  0.5000  0.7677  0.8657  4 Ni 2.77-2.90, 2 Au 3.04
Ni  0.0000  0.2259  0.6403  2 Ni 2.49, 4 Tm 2.76-2.77
Ni  0.0000  0.7741  0.1403  2 Ni 2.49, 4 Tm 2.76-2.77
Ni  0.5000  0.0696  0.7206  2 Ni 2.49
Ni  0.5000  0.9304  0.2206  2 Ni 2.49
Au  0.0000  0.4177  0.1396  7 Tm 2.97-3.25, 1 Ni 3.20
Au  0.0000  0.5823  0.6396  7 Tm 2.97-3.25, 1 Ni 3.20

## Properties
Total magnetization = 0.00 μB per cell
Raw total energy = -5.273 eV/atom
DFT formation energy = -326 kJ/mol of formula units
SG = No. 26
N(E_F) = 8.5 states/eV per cell
V = 20.927 Å³/atom

A relaxed Tm12Ni6Au crystal, computed with PBE.

Lattice parameters (Å, degrees): 8.2094 8.2094 8.2094 109.47 109.47 109.47
Last column: nearest neighbours and their distance in Å.
Element x y z (fractional)
Tm  0.1136  0.2992  0.8143  3 Ni 2.61-2.85
Tm  0.1857  0.4849  0.2992  3 Ni 2.61-2.85
Tm  0.1857  0.8864  0.7008  3 Ni 2.61-2.85
Tm  0.2992  0.1857  0.4849  3 Ni 2.61-2.85
Tm  0.2992  0.8143  0.1136  3 Ni 2.61-2.85
Tm  0.4849  0.2992  0.1857  3 Ni 2.61-2.85
Tm  0.5151  0.7008  0.8143  3 Ni 2.61-2.85
Tm  0.7008  0.1857  0.8864  3 Ni 2.61-2.85
Tm  0.7008  0.8143  0.5151  3 Ni 2.61-2.85
Tm  0.8143  0.1136  0.2992  3 Ni 2.61-2.85
Tm  0.8143  0.5151  0.7008  3 Ni 2.61-2.85
Tm  0.8864  0.7008  0.1857  3 Ni 2.61-2.85
Ni  0.1258  0.5000  0.6258  1 Ni 2.38, 2 Tm 2.61
Ni  0.3742  0.8742  0.5000  1 Ni 2.38, 2 Tm 2.61
Ni  0.5000  0.3742  0.8742  1 Ni 2.38, 2 Tm 2.61
Ni  0.5000  0.6258  0.1258  1 Ni 2.38, 2 Tm 2.61
Ni  0.6258  0.1258  0.5000  1 Ni 2.38, 2 Tm 2.61
Ni  0.8742  0.5000  0.3742  1 Ni 2.38, 2 Tm 2.61
Au  0.0000  0.0000  0.0000  12 Tm 3.34

## Properties
Total magnetization = 0.00 μB per cell
Raw total energy = -5.225 eV/atom
DFT formation energy = -739 kJ/mol of formula units
SG = No. 204
N(E_F) = 25.7 states/eV per cell
V = 22.416 Å³/atom

Number 2 is which compound?
Tm12Ni6Au

Which of these has the highest DFT formation energy?
Tm3Ni2Au

DFT formation energy of number 1 (Tm3Ni2Au)?
-326 kJ/mol of formula units